Density functional theory data (PBE-GGA) for crystalline Ca3HfGe at its relaxed geometry.

a b c (Å): 5.627 5.627 5.627
angles (deg): 90.00 90.00 90.00
Fractional coordinates of all 5 atoms:
Ca1 0.000 0.000 0.500
Ca2 0.000 0.500 0.000
Ca3 0.500 0.000 0.000
Hf1 0.500 0.500 0.500
Ge1 0.000 0.000 0.000

For the total magnetization, the calculation gives 3.32 μB per formula unit. The calculation puts the formation energy from the elements at 0.469 eV/atom. The calculation puts the density of states at the Fermi level at 6.002 states/eV per cell. Its symmetry is Pm-3m (221). Its total energy is -18.23 eV for the cell shown.



Density functional theory data (PBE-GGA) for crystalline CaHf2Ge2 at its relaxed geometry.

a b c (Å): 6.033 6.033 6.033
angles (deg): 130.05 130.05 73.33
Fractional coordinates of all 5 atoms:
Ca1 0.000 0.000 0.000
Hf1 0.330 0.330 0.000
Hf2 0.670 0.670 0.000
Ge1 0.250 0.750 0.500
Ge2 0.750 0.250 0.500

For the total magnetization, the calculation gives 0.00 μB per formula unit. The calculation puts the formation energy from the elements at -0.165 eV/atom. The calculation puts the density of states at the Fermi level at 2.715 states/eV per cell. Its symmetry is I4/mmm (139). Its total energy is -31.97 eV for the cell shown.



Density functional theory data (PBE-GGA) for crystalline CaHfGe2 at its relaxed geometry.

a b c (Å): 4.916 4.916 4.916
angles (deg): 60.00 60.00 60.00
Fractional coordinates of all 4 atoms:
Ca1 0.000 0.000 0.000
Hf1 0.500 0.500 0.500
Ge1 0.250 0.250 0.250
Ge2 0.750 0.750 0.750

For the total magnetization, the calculation gives 0.00 μB per formula unit. The calculation puts the formation energy from the elements at -0.231 eV/atom. The calculation puts the density of states at the Fermi level at 4.762 states/eV per cell. Its symmetry is Fm-3m (225). Its total energy is -22.12 eV for the cell shown.



Density functional theory data (PBE-GGA) for crystalline CaHfGe2 at its relaxed geometry.

a b c (Å): 9.600 9.600 9.600
angles (deg): 149.45 149.45 43.75
Fractional coordinates of all 8 atoms:
Ca1 0.000 0.000 0.000
Ca2 0.750 0.250 0.500
Hf1 0.250 0.750 0.500
Hf2 0.500 0.500 0.000
Ge1 0.260 0.625 0.135
Ge2 0.375 0.510 0.635
Ge3 0.490 0.125 0.865
Ge4 0.875 0.740 0.365

For the total magnetization, the calculation gives 0.00 μB per formula unit. The calculation puts the formation energy from the elements at 0.043 eV/atom. The calculation puts the density of states at the Fermi level at 4.540 states/eV per cell. Its symmetry is I-42d (122). Its total energy is -42.04 eV for the cell shown.



Density functional theory data (PBE-GGA) for crystalline CaHfGe2 at its relaxed geometry.

a b c (Å): 7.266 7.266 7.266
angles (deg): 31.80 31.80 31.80
Fractional coordinates of all 4 atoms:
Ca1 0.000 0.000 0.000
Hf1 0.500 0.500 0.500
Ge1 0.238 0.238 0.238
Ge2 0.762 0.762 0.762

For the total magnetization, the calculation gives 0.00 μB per formula unit. The calculation puts the formation energy from the elements at -0.400 eV/atom. The calculation puts the density of states at the Fermi level at 1.824 states/eV per cell. Its symmetry is R-3m (166). Its total energy is -22.79 eV for the cell shown.



Density functional theory data (PBE-GGA) for crystalline CaHf2Ge2 at its relaxed geometry.

a b c (Å): 8.258 8.258 3.081
angles (deg): 90.00 90.00 90.00
Fractional coordinates of all 10 atoms:
Ca1 0.000 0.000 0.000
Ca2 0.500 0.500 0.000
Hf1 0.125 0.375 0.000
Hf2 0.375 0.875 0.000
Hf3 0.625 0.125 0.000
Hf4 0.875 0.625 0.000
Ge1 0.169 0.669 0.500
Ge2 0.331 0.169 0.500
Ge3 0.669 0.831 0.500
Ge4 0.831 0.331 0.500

For the total magnetization, the calculation gives 0.00 μB per formula unit. The calculation puts the formation energy from the elements at -0.265 eV/atom. The calculation puts the density of states at the Fermi level at 8.587 states/eV per cell. Its symmetry is P4/mbm (127). Its total energy is -64.93 eV for the cell shown.



Values for offset from the most stable computed form, eV/atom, ordered as above
0.000, 0.279, 0.168, 0.443, 0.000, 0.179